No. 1
{"formula": "YTaMo2", "functional": "PBE", "state": "relaxed", "energy_ev_per_atom": -9.48, "e_above_lowest_polymorph_kj_per_mol_atoms": 30.4, "delta_e_f_ev_per_atom": 0.516, "lattice": [[5.6811, 0.0061, 0.0000], [2.9772, 4.8385, 0.0000], [-4.3292, -2.4223, 2.7687]], "species": ["Mo", "Mo", "Y", "Ta"], "frac_coords": [[0.2500, 0.7500, 0.5000], [0.0000, 0.0000, 0.0000], [0.7500, 0.2500, 0.5000], [0.5000, 0.5000, 0.0000]]}

No. 2
{"formula": "Th3Zn9Cu2", "functional": "PBE", "state": "relaxed", "energy_ev_per_atom": -3.24, "delta_e_f_ev_per_atom": -0.246, "lattice": [[4.3094, 0.0000, 1.1575], [1.5535, 7.5570, 2.8171], [0.1091, 0.5444, 8.1944]], "species": ["Cu", "Cu", "Zn", "Zn", "Zn", "Zn", "Zn", "Zn", "Zn", "Zn", "Zn", "Th", "Th", "Th"], "frac_coords": [[0.5000, 0.6768, 0.3232], [0.5000, 0.3232, 0.6768], [0.1364, 0.5809, 0.1464], [0.1364, 0.1464, 0.5809], [0.6533, 0.9887, 0.7047], [0.8636, 0.4191, 0.8536], [0.6533, 0.7047, 0.9887], [0.3467, 0.0113, 0.2953], [0.0000, 0.5000, 0.5000], [0.3467, 0.2953, 0.0113], [0.8636, 0.8536, 0.4191], [0.0000, 0.0000, 0.0000], [0.2972, 0.7028, 0.7028], [0.7028, 0.2972, 0.2972]]}

No. 3
{"formula": "PmBW", "functional": "PBE", "state": "relaxed", "energy_ev_per_atom": -8.19, "delta_e_f_ev_per_atom": -0.062, "lattice": [[3.6970, 0.0000, 0.0000], [0.0000, 3.6970, 0.0000], [0.0000, 0.0000, 8.5511]], "species": ["W", "W", "B", "B", "Pm", "Pm"], "frac_coords": [[0.0000, 0.0000, 0.5000], [0.5000, 0.5000, 0.5000], [0.0000, 0.5000, 0.3262], [0.5000, 0.0000, 0.6738], [0.5000, 0.0000, 0.1801], [0.0000, 0.5000, 0.8199]]}

No. 4
{"formula": "Ac2AgPd3", "functional": "PBE", "state": "relaxed", "energy_ev_per_atom": -5.09, "e_above_lowest_polymorph_kj_per_mol_atoms": 0.0, "delta_e_f_ev_per_atom": -0.652, "lattice": [[-2.7235, -2.9746, -1.3270], [2.3170, -0.6007, -3.4090], [4.8214, -4.3212, 6.5833]], "species": ["Pd", "Pd", "Pd", "Ag", "Ac", "Ac"], "frac_coords": [[0.7059, 0.7059, 0.4118], [0.5535, 0.5535, 0.1070], [0.2992, 0.7992, 0.5984], [0.4549, 0.9549, 0.9098], [0.8593, 0.3593, 0.7185], [0.1273, 0.1273, 0.2546]]}

No. 5
{"formula": "LiMg2F6", "functional": "PBE", "state": "relaxed", "e_form_raw_ev_per_atom": -2.75, "energy_ev_per_atom": -4.56, "lattice": [[3.3802, 0.0000, 0.0000], [0.0000, 5.5206, 0.0000], [0.0000, -2.7603, 4.7810]], "species": ["F", "F", "F", "F", "F", "F", "Li", "Mg", "Mg"], "frac_coords": [[0.0000, 0.7184, 0.0000], [0.0000, 0.0000, 0.7184], [0.5000, 0.0000, 0.4032], [0.5000, 0.4032, 0.0000], [0.0000, 0.2816, 0.2816], [0.5000, 0.5968, 0.5968], [0.5000, 0.0000, 0.0000], [0.0000, 0.3333, 0.6667], [0.0000, 0.6667, 0.3333]]}

No. 6
{"formula": "CeHoGa", "functional": "PBE", "state": "relaxed", "energy_ev_per_atom": -4.67, "e_above_lowest_polymorph_kj_per_mol_atoms": 13.0, "delta_e_f_ev_per_atom": -0.157, "lattice": [[4.9567, 0.0000, 0.0000], [2.4784, 4.2927, 0.0000], [2.4784, 1.4309, 4.0472]], "species": ["Ho", "Ga", "Ce"], "frac_coords": [[0.5000, 0.5000, 0.5000], [0.2500, 0.2500, 0.2500], [0.0000, 0.0000, 0.0000]]}

No. 7
{"formula": "BeZnCu4", "functional": "PBE", "state": "relaxed", "energy_ev_per_atom": -3.62, "e_above_lowest_polymorph_kj_per_mol_atoms": 0.0, "delta_e_f_ev_per_atom": -0.055, "lattice": [[2.6246, 0.0000, 0.0000], [0.0000, 2.6246, 0.0000], [0.0000, 0.0000, 10.0205]], "species": ["Zn", "Cu", "Cu", "Cu", "Cu", "Be"], "frac_coords": [[0.0000, 0.0000, 0.0000], [0.0000, 0.0000, 0.6373], [0.5000, 0.5000, 0.1852], [0.5000, 0.5000, 0.8148], [0.0000, 0.0000, 0.3627], [0.5000, 0.5000, 0.5000]]}

No. 8
{"formula": "Ti2I2N", "functional": "PBE", "state": "relaxed", "e_form_raw_ev_per_atom": 0.73, "energy_ev_per_atom": -4.71, "e_above_lowest_polymorph_kj_per_mol_atoms": 0.0, "lattice": [[-2.6981, 0.0027, -2.7766], [-2.4650, -1.7843, 2.3936], [-5.3885, 6.6559, 2.5433]], "species": ["I", "I", "N", "Ti", "Ti"], "frac_coords": [[0.3713, 0.3713, 0.2574], [0.6287, 0.6287, 0.7426], [0.0000, 0.0000, 0.0000], [0.2500, 0.7500, 0.5000], [0.7500, 0.2500, 0.5000]]}

No. 9
{"formula": "Li2PuHf2S6", "functional": "PBE", "state": "relaxed", "e_form_raw_ev_per_atom": -1.54, "energy_ev_per_atom": -7.26, "lattice": [[6.5367, -0.0572, 0.0600], [-3.2805, 5.6542, 0.0600], [-1.1615, -1.9964, 6.1173]], "species": ["S", "S", "S", "S", "S", "S", "Pu", "Hf", "Hf", "Li", "Li"], "frac_coords": [[0.9241, 0.5653, 0.2594], [0.5653, 0.9241, 0.2594], [0.4347, 0.0759, 0.7406], [0.0759, 0.4347, 0.7406], [0.7281, 0.7281, 0.7438], [0.2719, 0.2719, 0.2562], [0.0000, 0.0000, 0.5000], [0.3348, 0.6652, 0.5000], [0.6652, 0.3348, 0.5000], [0.8338, 0.1662, 0.0000], [0.1662, 0.8338, 0.0000]]}

No. 10
{"formula": "Ba3Sn2Sb4", "functional": "PBE", "state": "relaxed", "e_form_raw_ev_per_atom": -0.68, "energy_ev_per_atom": -4.04, "e_above_lowest_polymorph_kj_per_mol_atoms": 0.0, "lattice": [[4.8363, 0.0004, -1.3480], [-0.6775, 7.7898, -2.4235], [-0.1171, 0.5182, 8.9394]], "species": ["Sb", "Sb", "Sb", "Sb", "Ba", "Ba", "Ba", "Sn", "Sn"], "frac_coords": [[0.4931, 0.3148, 0.9859], [0.7779, 0.7876, 0.5553], [0.5069, 0.6852, 0.0141], [0.2221, 0.2124, 0.4447], [0.1326, 0.5605, 0.2651], [0.8674, 0.4395, 0.7349], [0.0000, 0.0000, 0.0000], [0.6627, 0.0041, 0.3262], [0.3373, 0.9959, 0.6738]]}

No. 11
{"formula": "Er5Zn4Os", "functional": "PBE", "state": "relaxed", "energy_ev_per_atom": -4.26, "delta_e_f_ev_per_atom": -0.348, "lattice": [[-2.5996, -1.5199, 1.7461], [0.7204, -3.0263, -1.5617], [11.2425, -4.1134, 13.1571]], "species": ["Zn", "Zn", "Zn", "Zn", "Er", "Er", "Er", "Er", "Er", "Os"], "frac_coords": [[0.0000, 0.0000, 0.3992], [0.0000, 0.0000, 0.1984], [0.0000, 0.0000, 0.8016], [0.0000, 0.0000, 0.6008], [0.5000, 0.5000, 0.5000], [0.5000, 0.5000, 0.2982], [0.5000, 0.5000, 0.9095], [0.5000, 0.5000, 0.7018], [0.5000, 0.5000, 0.0905], [0.0000, 0.0000, 0.0000]]}

No. 12
{"formula": "LiMgHgN2", "functional": "PBE", "state": "relaxed", "e_form_raw_ev_per_atom": 1.22, "energy_ev_per_atom": -2.87, "lattice": [[3.9602, 0.0000, 0.0000], [0.0000, 4.4389, 0.0000], [0.0000, 0.0000, 3.9602]], "species": ["Hg", "N", "N", "Mg", "Li"], "frac_coords": [[0.0000, 0.5000, 0.0000], [0.0000, 0.0000, 0.5000], [0.5000, 0.0000, 0.0000], [0.5000, 0.5000, 0.5000], [0.0000, 0.0000, 0.0000]]}

No. 13
{"formula": "GaMoN2", "functional": "PBE", "state": "relaxed", "e_form_raw_ev_per_atom": -0.07, "energy_ev_per_atom": -7.69, "lattice": [[-5.3414, 2.6543, 2.9864], [-3.1618, 4.4129, 3.8760], [-4.4162, 4.8395, 1.2532]], "species": ["N", "N", "Ga", "Mo"], "frac_coords": [[0.1036, 0.1036, 0.1036], [0.8964, 0.8964, 0.8964], [0.0000, 0.0000, 0.0000], [0.5000, 0.5000, 0.5000]]}

No. 14
{"formula": "NaSr2PdO", "functional": "PBE", "state": "relaxed", "e_form_raw_ev_per_atom": -1.17, "energy_ev_per_atom": -4.14, "lattice": [[5.0827, 0.0000, 0.0000], [0.0000, 5.0827, 0.0000], [0.0000, 0.0000, 4.5799]], "species": ["Sr", "Sr", "Pd", "O", "Na"], "frac_coords": [[0.5000, 0.0000, 0.0000], [0.0000, 0.5000, 0.0000], [0.5000, 0.5000, 0.5000], [0.0000, 0.0000, 0.0000], [0.0000, 0.0000, 0.5000]]}

No. 15
{"formula": "Dy3ThTe6", "functional": "PBE", "state": "relaxed", "e_form_raw_ev_per_atom": -1.33, "energy_ev_per_atom": -5.34, "lattice": [[-0.4569, -3.6476, 2.3006], [-2.0424, -6.3799, -10.5211], [12.5964, -0.0340, 2.4477]], "species": ["Th", "Th", "Te", "Te", "Te", "Te", "Te", "Te", "Te", "Te", "Te", "Te", "Te", "Te", "Dy", "Dy", "Dy", "Dy", "Dy", "Dy"], "frac_coords": [[0.7500, 0.0464, 0.6989], [0.2500, 0.9536, 0.3011], [0.7500, 0.9151, 0.0989], [0.2500, 0.2540, 0.7209], [0.2500, 0.1935, 0.2518], [0.2500, 0.5155, 0.3796], [0.7500, 0.8065, 0.7482], [0.7500, 0.3924, 0.0637], [0.2500, 0.0849, 0.9011], [0.2500, 0.6076, 0.9363], [0.7500, 0.4845, 0.6204], [0.7500, 0.1151, 0.4686], [0.7500, 0.7460, 0.2791], [0.2500, 0.8849, 0.5314], [0.2500, 0.3202, 0.4983], [0.2500, 0.8454, 0.9220], [0.7500, 0.1546, 0.0780], [0.7500, 0.6798, 0.5017], [0.2500, 0.5705, 0.1633], [0.7500, 0.4295, 0.8367]]}

No. 16
{"formula": "Th2Al4GaPt3", "functional": "PBE", "state": "relaxed", "energy_ev_per_atom": -6.10, "delta_e_f_ev_per_atom": -1.000, "lattice": [[4.2989, 0.0000, 0.0000], [0.0000, 4.2989, 0.0000], [0.0000, 0.0000, 10.4787]], "species": ["Ga", "Al", "Al", "Al", "Al", "Pt", "Pt", "Pt", "Th", "Th"], "frac_coords": [[0.5000, 0.5000, 0.5000], [0.5000, 0.5000, 0.0000], [0.5000, 0.0000, 0.6347], [0.0000, 0.0000, 0.0000], [0.0000, 0.5000, 0.3653], [0.5000, 0.0000, 0.8689], [0.0000, 0.5000, 0.1311], [0.0000, 0.0000, 0.5000], [0.0000, 0.5000, 0.7512], [0.5000, 0.0000, 0.2488]]}

No. 17
{"formula": "ReHgRu", "functional": "PBE", "state": "relaxed", "energy_ev_per_atom": -6.97, "e_above_lowest_polymorph_kj_per_mol_atoms": 2.4, "delta_e_f_ev_per_atom": 0.371, "lattice": [[-0.4374, 2.8025, -0.1484], [-1.7600, -1.6337, 1.5169], [4.0712, 0.9392, 5.7353]], "species": ["Ru", "Re", "Hg"], "frac_coords": [[0.6667, 0.3333, 0.6429], [0.3333, 0.6667, 0.3602], [0.0000, 0.0000, 0.9968]]}

No. 18
{"formula": "Tb5Tl2Sb", "functional": "PBE", "state": "relaxed", "e_form_raw_ev_per_atom": -0.47, "energy_ev_per_atom": -4.47, "e_above_lowest_polymorph_kj_per_mol_atoms": 0.0, "lattice": [[-2.3673, -6.6500, -4.6372], [3.4263, -5.1989, 5.7064], [-6.1756, 5.7080, 2.6582]], "species": ["Sb", "Sb", "Tb", "Tb", "Tb", "Tb", "Tb", "Tb", "Tb", "Tb", "Tb", "Tb", "Tl", "Tl", "Tl", "Tl"], "frac_coords": [[0.2500, 0.2500, 0.5000], [0.7500, 0.7500, 0.5000], [0.5000, 0.5000, 0.0000], [0.9973, 0.4973, 0.3028], [0.8055, 0.9973, 0.3028], [0.0000, 0.0000, 0.0000], [0.0027, 0.5027, 0.6972], [0.4973, 0.3055, 0.3028], [0.6945, 0.1945, 0.6972], [0.5027, 0.6945, 0.6972], [0.1945, 0.0027, 0.6972], [0.3055, 0.8055, 0.3028], [0.1464, 0.3536, 0.0000], [0.3536, 0.8536, 0.0000], [0.6464, 0.1464, 0.0000], [0.8536, 0.6464, 0.0000]]}

No. 19
{"formula": "ThAl3ZnNi", "functional": "PBE", "state": "relaxed", "energy_ev_per_atom": -4.53, "delta_e_f_ev_per_atom": -0.248, "lattice": [[5.8054, 0.0000, 0.0000], [0.0000, 6.1133, 0.0000], [0.0000, -3.0567, 6.2457]], "species": ["Al", "Al", "Al", "Al", "Al", "Al", "Ni", "Ni", "Th", "Th", "Zn", "Zn"], "frac_coords": [[0.7500, 0.8659, 0.7317], [0.5000, 0.7140, 0.0000], [0.0000, 0.7140, 0.0000], [0.5000, 0.2860, 0.0000], [0.0000, 0.2860, 0.0000], [0.2500, 0.1341, 0.2683], [0.7500, 0.0690, 0.1380], [0.2500, 0.9310, 0.8620], [0.2500, 0.7227, 0.4453], [0.7500, 0.2773, 0.5547], [0.2500, 0.3476, 0.6952], [0.7500, 0.6524, 0.3048]]}

No. 20
{"formula": "Ti2Co6B", "functional": "PBE", "state": "relaxed", "energy_ev_per_atom": -7.28, "delta_e_f_ev_per_atom": -0.050, "lattice": [[2.5505, 0.0000, -0.0785], [0.0000, 7.1313, 0.0000], [-1.0532, -3.5657, 5.6935]], "species": ["Co", "Co", "Co", "Co", "Co", "Co", "Ti", "Ti", "B"], "frac_coords": [[0.1320, 0.0183, 0.3541], [0.1320, 0.3357, 0.3541], [0.5000, 0.2295, 0.0000], [0.8680, 0.6643, 0.6459], [0.5000, 0.7705, 0.0000], [0.8680, 0.9817, 0.6459], [0.3033, 0.6266, 0.2532], [0.6967, 0.3734, 0.7468], [0.0000, 0.0000, 0.0000]]}